(1)
Entry from Alexandria: a relaxed SmPuPdO6 crystal (PBE).

abc: 5.3680 5.3680 10.3279
angles: 90.00 90.00 120.00
Closest atoms and distances in Å follow each position.
Fractional positions:
1 Sm 0.0000 0.0000 0.0000  6 O 2.36
2 Sm 0.0000 0.0000 0.5000  6 O 2.36
3 Pu 0.3333 0.6667 0.2500  6 O 2.10
4 Pu 0.6667 0.3333 0.7500  6 O 2.10
5 Pd 0.3333 0.6667 0.7500  6 O 2.08
6 Pd 0.6667 0.3333 0.2500  6 O 2.08
7 O 0.0036 0.3529 0.6380  1 Pd 2.08, 1 Pu 2.10
8 O 0.0036 0.6507 0.8620  1 Pd 2.08, 1 Pu 2.10
9 O 0.3493 0.3529 0.8620  1 Pd 2.08, 1 Pu 2.10
10 O 0.3493 0.9964 0.6380  1 Pd 2.08, 1 Pu 2.10
11 O 0.3529 0.0036 0.1380  1 Pd 2.08, 1 Pu 2.10
12 O 0.3529 0.3493 0.3620  1 Pd 2.08, 1 Pu 2.10
13 O 0.6471 0.6507 0.6380  1 Pd 2.08, 1 Pu 2.10
14 O 0.6471 0.9964 0.8620  1 Pd 2.08, 1 Pu 2.10
15 O 0.6507 0.0036 0.3620  1 Pd 2.08, 1 Pu 2.10
16 O 0.6507 0.6471 0.1380  1 Pd 2.08, 1 Pu 2.10
17 O 0.9964 0.3493 0.1380  1 Pd 2.08, 1 Pu 2.10
18 O 0.9964 0.6471 0.3620  1 Pd 2.08, 1 Pu 2.10

Computed properties:
The theoretical density is 7.690 g/cm3. As for the total magnetization: 3.02 μB/f.u. The symmetry is P-31c (163). Its total energy is -8.161 eV/atom. The crystal system is trigonal. As for the density of states at the Fermi level: 12.3 states/eV/cell.

=====

(2)
Entry from Alexandria: a relaxed SrPuPd2O8 crystal (PBE).

abc: 4.9166 6.7476 4.9299
angles: 90.00 91.94 90.00
Closest atoms and distances in Å follow each position.
Fractional positions:
1 Sr 0.0000 0.0000 0.0000  6 O 2.39-2.40
2 Pu 0.0000 0.5000 0.0000  6 O 1.99-2.23
3 Pd 0.5000 0.2549 0.5000  6 O 2.04-2.11
4 Pd 0.5000 0.7451 0.5000  6 O 2.04-2.11
5 O 0.2062 0.2891 0.2016  1 Pu 1.99, 1 Pd 2.04
6 O 0.2062 0.7109 0.2016  1 Pu 1.99, 1 Pd 2.04
7 O 0.3127 0.5000 0.6824  2 Pd 2.11, 1 Pu 2.23
8 O 0.3336 0.0000 0.6596  2 Pd 2.07, 1 O 2.31
9 O 0.6664 0.0000 0.3404  2 Pd 2.07, 1 O 2.31
10 O 0.6873 0.5000 0.3176  2 Pd 2.11, 1 Pu 2.23
11 O 0.7938 0.2891 0.7984  1 Pu 1.99, 1 Pd 2.04
12 O 0.7938 0.7109 0.7984  1 Pu 1.99, 1 Pd 2.04

Computed properties:
The theoretical density is 6.831 g/cm3. As for the total magnetization: 1.97 μB/f.u. The symmetry is P2/m (10). Its total energy is -6.910 eV/atom. The crystal system is monoclinic. As for the density of states at the Fermi level: 3.8 states/eV/cell.

=====

(3)
Entry from Alexandria: a relaxed Sr2PuPdO6 crystal (PBE).

abc: 6.2620 6.2620 5.4314
angles: 113.02 113.02 53.80
Closest atoms and distances in Å follow each position.
Fractional positions:
1 Sr 0.2408 0.2408 0.2089  5 O 2.46-2.57
2 Sr 0.7592 0.7592 0.7911  5 O 2.46-2.57
3 Pu 0.5000 0.5000 0.0000  6 O 1.95-2.15
4 Pd 0.0000 0.0000 0.5000  4 O 2.04
5 O 0.1678 0.6838 0.1902  1 Pd 2.04, 1 Pu 2.15
6 O 0.3162 0.8322 0.8098  1 Pd 2.04, 1 Pu 2.15
7 O 0.3190 0.3190 0.7080  1 Pu 1.95
8 O 0.6810 0.6810 0.2920  1 Pu 1.95
9 O 0.6838 0.1678 0.1902  1 Pd 2.04, 1 Pu 2.15
10 O 0.8322 0.3162 0.8098  1 Pd 2.04, 1 Pu 2.15

Computed properties:
The theoretical density is 6.684 g/cm3. As for the total magnetization: 2.00 μB/f.u. The symmetry is C2/m (12). Its total energy is -7.618 eV/atom. The crystal system is monoclinic. As for the density of states at the Fermi level: 2.0 states/eV/cell.

=====

(4)
Entry from Alexandria: a relaxed SrPuPdO6 crystal (PBE).

abc: 5.3616 5.3616 11.0998
angles: 90.00 90.00 120.00
Closest atoms and distances in Å follow each position.
Fractional positions:
1 Sr 0.0000 0.0000 0.0000  6 O 2.54
2 Sr 0.0000 0.0000 0.5000  6 O 2.54
3 Pu 0.3333 0.6667 0.2500  6 O 2.06
4 Pu 0.6667 0.3333 0.7500  6 O 2.06
5 Pd 0.3333 0.6667 0.7500  6 O 2.06
6 Pd 0.6667 0.3333 0.2500  6 O 2.06
7 O 0.0005 0.3617 0.1474  1 Pu 2.06, 1 Pd 2.06
8 O 0.0005 0.6388 0.3526  1 Pu 2.06, 1 Pd 2.06
9 O 0.3612 0.3617 0.3526  1 Pu 2.06, 1 Pd 2.06
10 O 0.3612 0.9995 0.1474  1 Pu 2.06, 1 Pd 2.06
11 O 0.3617 0.0005 0.6474  1 Pu 2.06, 1 Pd 2.06
12 O 0.3617 0.3612 0.8526  1 Pu 2.06, 1 Pd 2.06
13 O 0.6383 0.6388 0.1474  1 Pu 2.06, 1 Pd 2.06
14 O 0.6383 0.9995 0.3526  1 Pu 2.06, 1 Pd 2.06
15 O 0.6388 0.0005 0.8526  1 Pu 2.06, 1 Pd 2.06
16 O 0.6388 0.6383 0.6474  1 Pu 2.06, 1 Pd 2.06
17 O 0.9995 0.3612 0.6474  1 Pu 2.06, 1 Pd 2.06
18 O 0.9995 0.6383 0.8526  1 Pu 2.06, 1 Pd 2.06

Computed properties:
The theoretical density is 6.418 g/cm3. As for the total magnetization: 2.00 μB/f.u. The symmetry is P-31c (163). Its total energy is -7.620 eV/atom. The crystal system is trigonal. As for the density of states at the Fermi level: 11.1 states/eV/cell.

=====

(5)
Entry from Alexandria: a relaxed PuTaPdO6 crystal (PBE).

abc: 5.5063 5.5063 9.2074
angles: 90.00 90.00 120.00
Closest atoms and distances in Å follow each position.
Fractional positions:
1 Pu 0.3333 0.6667 0.2500  6 O 2.12
2 Pu 0.6667 0.3333 0.7500  6 O 2.12
3 Ta 0.3333 0.6667 0.7500  6 O 2.01
4 Ta 0.6667 0.3333 0.2500  6 O 2.01
5 Pd 0.0000 0.0000 0.0000  6 O 2.33
6 Pd 0.0000 0.0000 0.5000  6 O 2.33
7 O 0.0152 0.3648 0.6349  1 Ta 2.01, 1 Pu 2.12
8 O 0.0152 0.6504 0.8651  1 Ta 2.01, 1 Pu 2.12
9 O 0.3496 0.3648 0.8651  1 Ta 2.01, 1 Pu 2.12
10 O 0.3496 0.9848 0.6349  1 Ta 2.01, 1 Pu 2.12
11 O 0.3648 0.0152 0.1349  1 Ta 2.01, 1 Pu 2.12
12 O 0.3648 0.3496 0.3651  1 Ta 2.01, 1 Pu 2.12
13 O 0.6352 0.6504 0.6349  1 Ta 2.01, 1 Pu 2.12
14 O 0.6352 0.9848 0.8651  1 Ta 2.01, 1 Pu 2.12
15 O 0.6504 0.0152 0.3651  1 Ta 2.01, 1 Pu 2.12
16 O 0.6504 0.6352 0.1349  1 Ta 2.01, 1 Pu 2.12
17 O 0.9848 0.3496 0.1349  1 Ta 2.01, 1 Pu 2.12
18 O 0.9848 0.6352 0.3651  1 Ta 2.01, 1 Pu 2.12

Computed properties:
The theoretical density is 8.618 g/cm3. As for the total magnetization: 0.99 μB/f.u. The symmetry is P-31c (163). Its total energy is -8.858 eV/atom. The crystal system is trigonal. As for the density of states at the Fermi level: 12.6 states/eV/cell.

=====

(6)
Entry from Alexandria: a relaxed TbPuPdO6 crystal (PBE).

abc: 5.3500 5.3500 10.0955
angles: 90.00 90.00 120.00
Closest atoms and distances in Å follow each position.
Fractional positions:
1 Tb 0.0000 0.0000 0.0000  6 O 2.31
2 Tb 0.0000 0.0000 0.5000  6 O 2.31
3 Pu 0.3333 0.6667 0.2500  6 O 2.10
4 Pu 0.6667 0.3333 0.7500  6 O 2.10
5 Pd 0.3333 0.6667 0.7500  6 O 2.08
6 Pd 0.6667 0.3333 0.2500  6 O 2.08
7 O 0.0036 0.3497 0.6358  1 Pd 2.08, 1 Pu 2.10, 1 Tb 2.31
8 O 0.0036 0.6540 0.8642  1 Pd 2.08, 1 Pu 2.10, 1 Tb 2.31
9 O 0.3460 0.3497 0.8642  1 Pd 2.08, 1 Pu 2.10, 1 Tb 2.31
10 O 0.3460 0.9964 0.6358  1 Pd 2.08, 1 Pu 2.10, 1 Tb 2.31
11 O 0.3497 0.0036 0.1358  1 Pd 2.08, 1 Pu 2.10, 1 Tb 2.31
12 O 0.3497 0.3460 0.3642  1 Pd 2.08, 1 Pu 2.10, 1 Tb 2.31
13 O 0.6503 0.6540 0.6358  1 Pd 2.08, 1 Pu 2.10, 1 Tb 2.31
14 O 0.6503 0.9964 0.8642  1 Pd 2.08, 1 Pu 2.10, 1 Tb 2.31
15 O 0.6540 0.0036 0.3642  1 Pd 2.08, 1 Pu 2.10, 1 Tb 2.31
16 O 0.6540 0.6503 0.1358  1 Pd 2.08, 1 Pu 2.10, 1 Tb 2.31
17 O 0.9964 0.3460 0.1358  1 Pd 2.08, 1 Pu 2.10, 1 Tb 2.31
18 O 0.9964 0.6503 0.3642  1 Pd 2.08, 1 Pu 2.10, 1 Tb 2.31

Computed properties:
The theoretical density is 8.034 g/cm3. As for the total magnetization: 3.02 μB/f.u. The symmetry is P-31c (163). Its total energy is -8.171 eV/atom. The crystal system is trigonal. As for the density of states at the Fermi level: 12.5 states/eV/cell.

=====

Which formula does entry 4 have?
SrPuPdO6

=====

Among the records above, which one has the lowest total magnetization?
PuTaPdO6